(1)
Here is Na12CdAu5 after structural relaxation from the Alexandria database. Energies are from GGA-PBE.

Values from the calculation:
space group: Immm (71)
total energy: -2.06 eV/atom
ΔH_f (0 K): -0.22 eV/atom

a b c (Å): 8.642 8.642 8.642
angles (deg): 98.41 111.16 119.52
Sites, in units of the cell vectors:
1 Na 0.191 0.433 0.242
2 Na 0.809 0.051 0.242
3 Na 0.191 0.949 0.758
4 Au 0.668 0.668 0.000
5 Na 0.306 0.330 0.636
6 Na 0.534 0.815 0.719
7 Na 0.096 0.815 0.281
8 Na 0.306 0.670 0.975
9 Au 0.500 0.125 0.625
10 Au 0.500 0.875 0.375
11 Na 0.466 0.185 0.281
12 Na 0.904 0.185 0.719
13 Au 0.332 0.332 0.000
14 Na 0.694 0.670 0.364
15 Au 0.000 0.000 0.000
16 Na 0.694 0.330 0.025
17 Cd 0.000 0.500 0.500
18 Na 0.809 0.567 0.758

(2)
Here is Sr2BiAsN after structural relaxation from the Alexandria database. Energies are from GGA-PBE.

Values from the calculation:
space group: P4/mmm (123)
formation energy without anion corrections: -0.155 eV/atom
total energy: -4.20 eV/atom

a b c (Å): 6.144 3.907 6.144
angles (deg): 90.00 90.00 90.00
Sites, in units of the cell vectors:
1 Sr 0.500 0.000 0.000
2 As 0.000 0.000 0.000
3 N 0.000 0.500 0.000
4 Sr 0.000 0.000 0.500
5 Bi 0.500 0.500 0.500

(3)
Here is SmTl3Ge2Te6 after structural relaxation from the Alexandria database. Energies are from GGA-PBE.

Values from the calculation:
space group: C2/m (12)
formation energy without anion corrections: -0.400 eV/atom
total energy: -3.73 eV/atom

a b c (Å): 7.740 7.740 7.949
angles (deg): 99.26 99.26 119.99
Sites, in units of the cell vectors:
1 Te 0.275 0.275 0.786
2 Tl 0.159 0.841 0.500
3 Tl 0.500 0.500 0.500
4 Te 0.725 0.725 0.214
5 Te 0.583 0.928 0.783
6 Sm 0.000 0.000 0.000
7 Ge 0.671 0.329 0.000
8 Tl 0.841 0.159 0.500
9 Te 0.928 0.583 0.783
10 Te 0.072 0.417 0.217
11 Te 0.417 0.072 0.217
12 Ge 0.329 0.671 0.000

(4)
Here is SrSc2Ta after structural relaxation from the Alexandria database. Energies are from GGA-PBE.

Values from the calculation:
space group: F-43m (216)
energy relative to the lowest polymorph listed for this composition: 420.5 meV per atom
total energy: -5.81 eV/atom
ΔH_f (0 K): 0.74 eV/atom

a b c (Å): 5.268 5.268 5.268
angles (deg): 60.00 60.00 60.00
Sites, in units of the cell vectors:
1 Sr 0.500 0.500 0.500
2 Ta 0.750 0.750 0.750
3 Sc 0.000 0.000 0.000
4 Sc 0.250 0.250 0.250

(5)
Here is NbAs2Cl after structural relaxation from the Alexandria database. Energies are from GGA-PBE.

Values from the calculation:
space group: I-42d (122)
formation energy without anion corrections: 0.265 eV/atom
energy relative to the lowest polymorph listed for this composition: 0.0 meV per atom
total energy: -5.04 eV/atom

a b c (Å): 6.179 6.179 7.535
angles (deg): 65.79 65.79 90.00
Sites, in units of the cell vectors:
1 As 0.063 0.625 0.250
2 Cl 0.500 0.500 0.000
3 Nb 0.000 0.000 0.000
4 As 0.375 0.313 0.750
5 Nb 0.750 0.250 0.500
6 As 0.687 0.125 0.250
7 Cl 0.250 0.750 0.500
8 As 0.875 0.937 0.750

(6)
Here is VH2AuN after structural relaxation from the Alexandria database. Energies are from GGA-PBE.

Values from the calculation:
space group: Cm (8)
energy relative to the lowest polymorph listed for this composition: 195.6 meV per atom
total energy: -5.55 eV/atom

a b c (Å): 3.164 3.166 6.735
angles (deg): 76.61 76.54 60.12
Sites, in units of the cell vectors:
1 V 0.249 0.038 0.744
2 Au 0.067 0.857 0.291
3 H 0.980 0.769 0.551
4 N 0.567 0.357 0.790
5 H 0.154 0.945 0.031

(7)
Here is TaGa2Pd after structural relaxation from the Alexandria database. Energies are from GGA-PBE.

Values from the calculation:
space group: Cm (8)
total energy: -6.08 eV/atom
ΔH_f (0 K): -0.31 eV/atom

a b c (Å): 2.966 2.966 8.722
angles (deg): 80.28 80.28 60.03
Sites, in units of the cell vectors:
1 Ga 0.078 0.078 0.765
2 Ta 0.501 0.501 0.499
3 Pd 0.666 0.666 0.001
4 Ga 0.255 0.255 0.235

(8)
Here is PrDy2Mg9 after structural relaxation from the Alexandria database. Energies are from GGA-PBE.

Values from the calculation:
space group: R-3m (166)
total energy: -2.42 eV/atom
ΔH_f (0 K): -0.06 eV/atom

a b c (Å): 6.053 6.053 10.408
angles (deg): 73.10 73.10 60.00
Sites, in units of the cell vectors:
1 Mg 0.587 0.080 0.746
2 Mg 0.334 0.334 0.998
3 Dy 0.856 0.856 0.433
4 Mg 0.413 0.413 0.254
5 Dy 0.144 0.144 0.567
6 Mg 0.920 0.413 0.254
7 Mg 0.413 0.920 0.254
8 Pr 0.000 0.000 0.000
9 Mg 0.587 0.587 0.746
10 Mg 0.080 0.587 0.746
11 Mg 0.666 0.666 0.002
12 Mg 0.500 0.500 0.500